[1]
Nd6YTm12: optimized geometry, PBE.

Computed properties:
Symmetry: R-3m (166)
Relative energy among the computed polymorphs, meV per atom: 92.6
Formation energy from the elements, kJ/mol of formula units: 407
Total DFT energy (no corrections), eV per cell: -84.5

Lattice parameters (Å, degrees): 8.682 8.682 8.682 98.67 98.67 98.67
Positions (direct):
Nd 0.155 0.599 0.599
Nd 0.401 0.401 0.845
Nd 0.401 0.845 0.401
Nd 0.599 0.155 0.599
Nd 0.599 0.599 0.155
Nd 0.845 0.401 0.401
Y 0.500 0.500 0.500
Tm 0.000 0.256 0.744
Tm 0.000 0.744 0.256
Tm 0.145 0.145 0.419
Tm 0.145 0.419 0.145
Tm 0.256 0.000 0.744
Tm 0.256 0.744 0.000
Tm 0.419 0.145 0.145
Tm 0.581 0.855 0.855
Tm 0.744 0.000 0.256
Tm 0.744 0.256 0.000
Tm 0.855 0.581 0.855
Tm 0.855 0.855 0.581

***

[2]
NdYTm4: optimized geometry, PBE.

Computed properties:
Symmetry: C2/m (12)
Relative energy among the computed polymorphs, meV per atom: 0.0
Formation energy from the elements, kJ/mol of formula units: 16
Total DFT energy (no corrections), eV per cell: -57.9

Lattice parameters (Å, degrees): 11.211 4.973 7.074 90.00 108.36 90.00
Positions (direct):
Nd 0.000 0.000 0.000
Nd 0.500 0.500 0.000
Y 0.000 0.000 0.500
Y 0.500 0.500 0.500
Tm 0.167 0.500 0.833
Tm 0.168 0.500 0.335
Tm 0.332 0.000 0.665
Tm 0.333 0.000 0.167
Tm 0.667 0.000 0.833
Tm 0.668 0.000 0.335
Tm 0.832 0.500 0.665
Tm 0.833 0.500 0.167

***

[3]
NdY2Tm12: optimized geometry, PBE.

Computed properties:
Symmetry: P-1 (2)
Formation energy from the elements, kJ/mol of formula units: 81
Total DFT energy (no corrections), eV per cell: -70.5

Lattice parameters (Å, degrees): 3.477 5.473 24.505 83.76 86.01 89.99
Positions (direct):
Nd 0.000 0.000 0.000
Y 0.357 0.860 0.276
Y 0.643 0.140 0.724
Tm 0.096 0.595 0.807
Tm 0.172 0.668 0.667
Tm 0.205 0.202 0.597
Tm 0.268 0.271 0.459
Tm 0.433 0.934 0.136
Tm 0.466 0.467 0.067
Tm 0.534 0.533 0.933
Tm 0.567 0.066 0.864
Tm 0.732 0.729 0.541
Tm 0.795 0.798 0.403
Tm 0.828 0.332 0.333
Tm 0.904 0.405 0.193

***

[4]
Nd7YTm4: optimized geometry, PBE.

Computed properties:
Symmetry: P-1 (2)
Relative energy among the computed polymorphs, meV per atom: 0.0
Formation energy from the elements, kJ/mol of formula units: 5
Total DFT energy (no corrections), eV per cell: -57.7

Lattice parameters (Å, degrees): 6.310 7.275 8.962 89.97 76.46 89.96
Positions (direct):
Nd 0.000 0.000 0.000
Nd 0.223 0.500 0.335
Nd 0.281 0.751 0.664
Nd 0.499 0.246 0.998
Nd 0.501 0.754 0.002
Nd 0.719 0.249 0.336
Nd 0.777 0.500 0.665
Y 0.000 0.500 0.000
Tm 0.219 0.000 0.336
Tm 0.277 0.245 0.666
Tm 0.723 0.755 0.334
Tm 0.781 0.000 0.664

***

[5]
Nd12YTm6: optimized geometry, PBE.

Computed properties:
Symmetry: R-3 (148)
Relative energy among the computed polymorphs, meV per atom: 0.0
Formation energy from the elements, kJ/mol of formula units: 243
Total DFT energy (no corrections), eV per cell: -88.0

Lattice parameters (Å, degrees): 8.665 8.665 8.665 88.86 88.86 88.86
Positions (direct):
Nd 0.018 0.193 0.364
Nd 0.193 0.364 0.018
Nd 0.218 0.463 0.567
Nd 0.364 0.018 0.193
Nd 0.433 0.782 0.537
Nd 0.463 0.567 0.218
Nd 0.537 0.433 0.782
Nd 0.567 0.218 0.463
Nd 0.636 0.982 0.807
Nd 0.782 0.537 0.433
Nd 0.807 0.636 0.982
Nd 0.982 0.807 0.636
Y 0.000 0.000 0.000
Tm 0.100 0.704 0.259
Tm 0.259 0.100 0.704
Tm 0.296 0.741 0.900
Tm 0.704 0.259 0.100
Tm 0.741 0.900 0.296
Tm 0.900 0.296 0.741

***

[6]
Nd2Y6Tm3: optimized geometry, PBE.

Computed properties:
Symmetry: C2/m (12)
Relative energy among the computed polymorphs, meV per atom: 0.0
Formation energy from the elements, kJ/mol of formula units: 200
Total DFT energy (no corrections), eV per cell: -59.7

Lattice parameters (Å, degrees): 6.131 6.131 11.703 95.04 95.04 120.07
Positions (direct):
Nd 0.167 0.833 0.000
Nd 0.833 0.167 0.000
Y 0.082 0.416 0.746
Y 0.251 0.251 0.254
Y 0.416 0.082 0.746
Y 0.584 0.918 0.254
Y 0.749 0.749 0.746
Y 0.918 0.584 0.254
Tm 0.000 0.000 0.500
Tm 0.335 0.665 0.500
Tm 0.665 0.335 0.500

***

- What is the formation energy from the elements in the fourth record?
  5 kJ/mol of formula units

***

Copy entry 1 word for word.
Nd6YTm12: optimized geometry, PBE.

Computed properties:
Symmetry: R-3m (166)
Relative energy among the computed polymorphs, meV per atom: 92.6
Formation energy from the elements, kJ/mol of formula units: 407
Total DFT energy (no corrections), eV per cell: -84.5

Lattice parameters (Å, degrees): 8.682 8.682 8.682 98.67 98.67 98.67
Positions (direct):
Nd 0.155 0.599 0.599
Nd 0.401 0.401 0.845
Nd 0.401 0.845 0.401
Nd 0.599 0.155 0.599
Nd 0.599 0.599 0.155
Nd 0.845 0.401 0.401
Y 0.500 0.500 0.500
Tm 0.000 0.256 0.744
Tm 0.000 0.744 0.256
Tm 0.145 0.145 0.419
Tm 0.145 0.419 0.145
Tm 0.256 0.000 0.744
Tm 0.256 0.744 0.000
Tm 0.419 0.145 0.145
Tm 0.581 0.855 0.855
Tm 0.744 0.000 0.256
Tm 0.744 0.256 0.000
Tm 0.855 0.581 0.855
Tm 0.855 0.855 0.581